Record 1
Tm2BeZn3Cu12: relaxed, PBE-GGA.

a = 9.088 Å, b = 9.088 Å, c = 9.088 Å
α = 40.06°, β = 40.06°, γ = 40.06°
Fractional positions:
Cu 0.422 0.811 0.422
Cu 0.075 0.655 0.075
Cu 0.578 0.189 0.578
Cu 0.189 0.578 0.578
Cu 0.925 0.345 0.925
Cu 0.655 0.075 0.075
Cu 0.811 0.422 0.422
Cu 0.075 0.075 0.655
Cu 0.345 0.925 0.925
Cu 0.925 0.925 0.345
Cu 0.422 0.422 0.811
Cu 0.578 0.578 0.189
Zn 0.000 0.000 0.500
Zn 0.500 0.000 0.000
Zn 0.000 0.500 0.000
Tm 0.348 0.348 0.348
Tm 0.652 0.652 0.652
Be 0.000 0.000 0.000

Computed properties:
**Symmetry**: No. 166
**Crystal system**: trigonal
**Uncorrected energy**: -63.49 eV for the cell shown
**ρ**: 7.74 Mg/m³
**Spin magnetization**: 0.0000 μB per atom

---

Record 2
UBeCu: relaxed, PBE-GGA.

a = 3.785 Å, b = 6.700 Å, c = 7.006 Å
α = 90.00°, β = 90.00°, γ = 90.00°
Fractional positions:
Cu 0.750 0.447 0.878
Cu 0.750 0.053 0.378
Cu 0.250 0.947 0.622
Cu 0.250 0.553 0.122
U 0.250 0.370 0.502
U 0.250 0.130 0.002
U 0.750 0.630 0.498
U 0.750 0.870 0.998
Be 0.750 0.135 0.703
Be 0.250 0.865 0.297
Be 0.750 0.365 0.203
Be 0.250 0.635 0.797

Computed properties:
**Symmetry**: No. 62
**Crystal system**: orthorhombic
**Uncorrected energy**: -75.15 eV for the cell shown
**ρ**: 11.61 Mg/m³
**Spin magnetization**: 0.2029 μB per atom

---

Record 3
UBe4Cu8: relaxed, PBE-GGA.

a = 4.566 Å, b = 6.260 Å, c = 6.260 Å
α = 82.36°, β = 68.61°, γ = 68.61°
Fractional positions:
Cu 0.000 0.650 0.350
Cu 0.000 0.350 0.650
Cu 0.278 0.222 0.222
Cu 0.500 0.778 0.222
Cu 0.722 0.778 0.778
Cu 0.650 0.350 0.350
Cu 0.350 0.650 0.650
Cu 0.500 0.222 0.778
Be 0.000 0.000 0.500
Be 0.500 0.000 0.500
Be 0.000 0.500 0.000
Be 0.500 0.500 0.000
U 0.000 0.000 0.000

Computed properties:
**Symmetry**: No. 139
**Crystal system**: tetragonal
**Uncorrected energy**: -58.94 eV for the cell shown
**ρ**: 8.37 Mg/m³
**Spin magnetization**: 0.1724 μB per atom